A geometry-optimized InCCl3 structure. Source: Alexandria via LeMat-Bulk, functional GGA-PBE.

Computed properties:
energy above the lowest structure with this stoichiometry: 307.0 meV per atom
DOS at the Fermi energy: 8.751 states/eV per cell
E_form (uncorrected): 79.5 kJ/mol of atoms

Cell lengths 5.136, 5.136, 5.136 Å; angles 90.00, 90.00, 90.00 degrees
Space group Pm-3m (No. 221)
Symmetry-distinct sites (fractional):
In: 0.000 0.000 0.000 [1 per cell]
C: 0.500 0.500 0.500 [1 per cell]
Cl: 0.000 0.000 0.500 [3 per cell]

A geometry-optimized NdPu2ScSb4 structure. Source: Alexandria via LeMat-Bulk, functional GGA-PBE.

Computed properties:
DOS at the Fermi energy: 31.836 states/eV per cell
E_form (uncorrected): -76.1 kJ/mol of atoms

Cell lengths 7.577, 4.405, 7.615 Å; angles 90.00, 109.52, 90.00 degrees
Space group P2/m (No. 10)
Symmetry-distinct sites (fractional):
Nd: 0.000 0.000 0.000 [1 per cell]
Pu: 0.500 0.000 0.500 [1 per cell]
Pu: 0.500 0.500 0.000 [1 per cell]
Sc: 0.000 0.500 0.500 [1 per cell]
Sb: 0.241 0.000 0.736 [2 per cell]
Sb: 0.250 0.500 0.262 [2 per cell]

A geometry-optimized TiZnSn2O structure. Source: Alexandria via LeMat-Bulk, functional GGA-PBE.

Computed properties:
DOS at the Fermi energy: 3.395 states/eV per cell
E_form (uncorrected): 9.8 kJ/mol of atoms

Cell lengths 5.574, 5.574, 3.458 Å; angles 90.00, 90.00, 90.00 degrees
Space group P4/mmm (No. 123)
Symmetry-distinct sites (fractional):
Ti: 0.000 0.000 0.000 [1 per cell]
Zn: 0.500 0.500 0.500 [1 per cell]
Sn: 0.000 0.500 0.500 [2 per cell]
O: 0.500 0.500 0.000 [1 per cell]

A geometry-optimized Ho3MgPd12 structure. Source: Alexandria via LeMat-Bulk, functional GGA-PBE.

Computed properties:
E_form: -779.3 meV/atom
DOS at the Fermi energy: 15.072 states/eV per cell

Cell lengths 4.082, 4.082, 16.275 Å; angles 90.00, 90.00, 90.00 degrees
Space group P4/mmm (No. 123)
Symmetry-distinct sites (fractional):
Ho: 0.000 0.000 0.000 [1 per cell]
Ho: 0.000 0.000 0.255 [2 per cell]
Mg: 0.000 0.000 0.500 [1 per cell]
Pd: 0.000 0.500 0.127 [4 per cell]
Pd: 0.000 0.500 0.382 [4 per cell]
Pd: 0.500 0.500 0.000 [1 per cell]
Pd: 0.500 0.500 0.254 [2 per cell]
Pd: 0.500 0.500 0.500 [1 per cell]

A geometry-optimized AcDy2Pb structure. Source: Alexandria via LeMat-Bulk, functional GGA-PBE.

Computed properties:
E_form: -100.6 meV/atom
energy above the lowest structure with this stoichiometry: 119.3 meV per atom
DOS at the Fermi energy: 12.549 states/eV per cell

Cell lengths 3.7078, 3.7078, 33.8453 Å; angles 90.00, 90.00, 120.00 degrees
Space group R3m (No. 160, hexagonal axes)
Symmetry-distinct sites (fractional):
Ac: 0.0000 0.0000 0.0000 [3 per cell]
Dy: 0.0000 0.0000 0.2425 [3 per cell]
Dy: 0.0000 0.0000 0.4238 [3 per cell]
Pb: 0.0000 0.0000 0.8334 [3 per cell]

A geometry-optimized CeHf2TcC4 structure. Source: Alexandria via LeMat-Bulk, functional GGA-PBE.

Computed properties:
E_form: -375.7 meV/atom
DOS at the Fermi energy: 16.527 states/eV per cell

Cell lengths 3.334, 11.643, 11.474 Å; angles 90.00, 90.00, 90.00 degrees
Space group Cmcm (No. 63)
Symmetry-distinct sites (fractional):
Ce: 0.000 0.098 0.250 [4 per cell]
Hf: 0.000 0.371 0.040 [8 per cell]
Tc: 0.000 0.164 0.750 [4 per cell]
C: 0.000 0.000 0.000 [4 per cell]
C: 0.000 0.263 0.616 [8 per cell]
C: 0.000 0.435 0.250 [4 per cell]

A geometry-optimized CaZnAu structure. Source: Alexandria via LeMat-Bulk, functional GGA-PBE.

Computed properties:
E_form: -594.1 meV/atom
DOS at the Fermi energy: 5.067 states/eV per cell

Cell lengths 10.604, 4.572, 7.247 Å; angles 90.00, 131.47, 90.00 degrees
Space group C2/m (No. 12)
Symmetry-distinct sites (fractional):
Ca: 0.048 0.000 0.304 [4 per cell]
Zn: 0.159 0.500 0.098 [4 per cell]
Au: 0.174 0.500 0.724 [4 per cell]

A geometry-optimized LiCdSN2 structure. Source: Alexandria via LeMat-Bulk, functional GGA-PBE.

Computed properties:
energy above the lowest structure with this stoichiometry: 0.0 meV per atom
DOS at the Fermi energy: 2.134 states/eV per cell
E_form (uncorrected): 132.8 kJ/mol of atoms

Cell lengths 4.318, 4.318, 5.282 Å; angles 90.00, 90.00, 90.00 degrees
Space group P4/mmm (No. 123)
Symmetry-distinct sites (fractional):
Li: 0.000 0.000 0.000 [1 per cell]
Cd: 0.500 0.500 0.500 [1 per cell]
S: 0.500 0.500 0.000 [1 per cell]
N: 0.000 0.500 0.500 [2 per cell]